A relaxed VCdNO2 crystal. Source: Alexandria via LeMat-Bulk, functional GGA+U.

Structure (extended XYZ):
```
5
Lattice="-0.4413 3.1553 2.7143 -3.5125 1.1819 -1.9450 -2.1917 -2.4373 2.4770" Properties=species:S:1:pos:R:3 pbc="T T T"
V -3.0727 0.9499 1.6232
O -0.2206 1.5776 1.3572
Cd 0.0000 0.0000 0.0000
N -1.0958 -1.2187 1.2385
O -1.7563 0.5910 -0.9725
```

Values from the calculation:
Total magnetization in μB/f.u.: 1.10
Calculated total energy in eV per cell: -22.68